Record 1
Compound: SiBiMo4N2
Source: OQMD via LeMat-Bulk
Functional: PBE-GGA
Structure: relaxed

Structure (POSCAR):
```
SiBiMo4N2
1.0
3.3082 0.0000 0.0000
-1.6541 2.8650 0.0000
0.0000 0.0000 12.4924
Bi Mo N Si
1 4 2 1
Cartesian
0.0000 0.0000 6.2462 Bi
0.0000 0.0000 1.6703 Mo
0.0000 1.9100 3.7027 Mo
0.0000 1.9100 8.7897 Mo
0.0000 0.0000 10.8222 Mo
1.6541 0.9550 3.0700 N
1.6541 0.9550 9.4224 N
0.0000 1.9100 0.0000 Si
```

Summary:
As for the space group: P-6m2, No. 187. As for the density: 9100 kg/m³. The raw total energy is -8.674 eV/atom.



Record 2
Compound: Tb2Nd2Si3
Source: OQMD via LeMat-Bulk
Functional: PBE-GGA
Structure: relaxed

Structure (POSCAR):
```
Tb2Nd2Si3
1.0
2.3286 -10.5506 0.0000
2.3286 10.5506 0.0000
0.0000 0.0000 7.0209
Nd Si Tb
4 6 4
Cartesian
2.3286 -2.5993 1.7552 Nd
2.3286 0.9831 1.7552 Nd
2.3286 -0.9831 5.2657 Nd
2.3286 2.5993 5.2657 Nd
2.3286 9.4635 0.5199 Si
2.3286 4.1143 1.7552 Si
2.3286 9.4635 2.9905 Si
2.3286 -9.4635 4.0304 Si
2.3286 -4.1143 5.2657 Si
2.3286 -9.4635 6.5010 Si
2.3286 -6.5906 0.1259 Tb
2.3286 -6.5906 3.3846 Tb
2.3286 6.5906 3.6363 Tb
2.3286 6.5906 6.8951 Tb
```

Summary:
As for the space group: Cmcm, No. 63. As for the density: 6648 kg/m³. The raw total energy is -5.561 eV/atom.



> Among the records above, which one has the highest density?

SiBiMo4N2